The following is a DFT calculation (PBE) of a relaxed Y7Er2Th crystal.

extended XYZ file:
```
10
Lattice="5.491 0.000 0.000 0.000 9.269 -0.523 0.000 -4.649 8.036" Properties=species:S:1:pos:R:3 pbc="T T T"
Y 0.000 6.360 1.266
Y 0.000 -1.740 6.247
Y 2.746 -0.756 2.294
Y 2.746 5.376 5.219
Y 2.746 2.388 0.360
Y 2.746 2.232 7.152
Y 2.746 2.310 3.756
Er 2.746 5.122 2.027
Er 2.746 -0.502 5.486
Th 0.000 0.000 0.000
```

Spin magnetization (μB/cell): 0.0
Energy of formation from the pure elements (eV/atom): 0.735
Electronic total energy (eV/f.u.): -54.45
Offset from the most stable computed form (meV/atom): 704
D(E_F) (states/eV per atom): 1.7070

---

The following is a DFT calculation (PBE) of a relaxed RbCrP2Se8 crystal.

extended XYZ file:
```
12
Lattice="-1.802 -5.568 -2.016 5.444 0.637 2.876 -4.597 -1.808 9.100" Properties=species:S:1:pos:R:3 pbc="T T T"
Rb 0.000 0.000 0.000
Cr -2.298 -0.904 4.550
P -0.766 -4.042 2.345
P -0.189 -2.697 7.615
Se -1.147 -3.074 9.513
Se -0.387 -2.219 3.675
Se 2.445 -3.695 4.813
Se 0.193 -3.665 0.447
Se -3.400 -3.043 5.147
Se -0.567 -4.520 6.285
Se -2.935 -6.375 4.720
Se 1.981 -0.364 5.240
```

Spin magnetization (μB/cell): 1.0
Electronic total energy (eV/f.u.): -52.30
D(E_F) (states/eV per atom): 0.4371
ΔE_f (raw) (eV/atom): -0.2512

---

The following is a DFT calculation (PBE) of a relaxed Na3TbPu2S6 crystal.

extended XYZ file:
```
12
Lattice="-2.916 -5.695 2.792 0.075 0.843 -6.929 6.789 -1.530 1.060" Properties=species:S:1:pos:R:3 pbc="T T T"
Na 2.971 -1.013 -4.777
Na 0.978 -5.369 1.700
Na 1.974 -3.191 -1.539
Tb 0.000 0.000 0.000
Pu -0.922 -1.336 -3.688
Pu -1.919 -3.515 -0.449
S 2.598 -5.948 -0.695
S -0.566 -3.950 -2.831
S 1.351 -0.434 -2.382
S 3.595 -3.770 -3.935
S 4.515 -2.432 -0.246
S 0.354 -2.612 0.858
```

Spin magnetization (μB/cell): 10.0
Electronic total energy (eV/f.u.): -81.66
D(E_F) (states/eV per atom): 1.4871
ΔE_f (raw) (eV/atom): -1.6374

---

The following is a DFT calculation (PBE) of a relaxed CsP2Cl2 crystal.

extended XYZ file:
```
5
Lattice="3.594 0.000 0.000 0.000 3.594 0.000 1.797 1.797 9.678" Properties=species:S:1:pos:R:3 pbc="T T T"
Cs 0.000 0.000 0.000
P 3.594 1.797 4.839
P 1.797 3.594 4.839
Cl 1.797 1.797 2.258
Cl 3.594 3.594 7.420
```

Spin magnetization (μB/cell): 0.0
Electronic total energy (eV/f.u.): -16.79
Offset from the most stable computed form (meV/atom): 0
D(E_F) (states/eV per atom): 0.8872
ΔE_f (raw) (eV/atom): -0.2844

---

The following is a DFT calculation (PBE) of a relaxed Er6TmTh crystal.

extended XYZ file:
```
8
Lattice="6.459 -0.788 -1.463 -3.134 5.703 -1.463 -1.865 -2.757 8.918" Properties=species:S:1:pos:R:3 pbc="T T T"
Er -0.435 -0.643 5.823
Er 3.375 -0.224 0.965
Er 1.895 2.801 0.170
Er 2.923 -0.892 5.028
Er -1.916 2.381 5.028
Er -1.463 3.050 0.965
Tm 0.000 0.000 0.000
Th 0.730 1.079 2.996
```

Spin magnetization (μB/cell): 0.0
Energy of formation from the pure elements (eV/atom): 0.226
Electronic total energy (eV/f.u.): -37.46
D(E_F) (states/eV per atom): 1.9368

---

The following is a DFT calculation (PBE) of a relaxed Al2RePt crystal.

extended XYZ file:
```
4
Lattice="4.516 0.006 0.005 3.675 2.625 0.005 0.923 0.297 5.020" Properties=species:S:1:pos:R:3 pbc="T T T"
Re 2.279 0.732 1.257
Al 0.022 0.007 0.015
Al 4.536 1.457 2.500
Pt 6.836 2.196 3.772
```

Spin magnetization (μB/cell): 0.0
Energy of formation from the pure elements (eV/atom): -0.377
Electronic total energy (eV/f.u.): -27.48
Offset from the most stable computed form (meV/atom): 224
D(E_F) (states/eV per atom): 0.5313

---

The following is a DFT calculation (PBE) of a relaxed KTa2NbH crystal.

extended XYZ file:
```
5
Lattice="5.268 0.000 0.000 0.000 3.680 0.000 0.000 0.000 5.268" Properties=species:S:1:pos:R:3 pbc="T T T"
H 0.000 1.840 0.000
Nb 0.000 0.000 0.000
K 2.634 1.840 2.634
Ta 0.000 0.000 2.634
Ta 2.634 0.000 0.000
```

Spin magnetization (μB/cell): 0.0
Electronic total energy (eV/f.u.): -30.12
D(E_F) (states/eV per atom): 1.1835

---

The following is a DFT calculation (PBE) of a relaxed Hf4Zn3Ga crystal.

extended XYZ file:
```
8
Lattice="-2.590 -2.667 -0.590 1.421 -0.467 -4.126 5.711 -6.135 2.662" Properties=species:S:1:pos:R:3 pbc="T T T"
Zn 0.160 -2.897 0.383
Zn 2.271 -4.635 -1.027
Zn 2.960 -5.905 1.688
Hf 2.855 -3.067 1.331
Hf 5.000 -4.842 -0.064
Hf 0.000 0.000 0.000
Hf 2.131 -1.760 -1.401
Ga -0.585 -1.567 -2.358
```

Spin magnetization (μB/cell): 0.0
Energy of formation from the pure elements (eV/atom): -0.233
Electronic total energy (eV/f.u.): -48.52
Offset from the most stable computed form (meV/atom): 24
D(E_F) (states/eV per atom): 0.7533

---

The following is a DFT calculation (PBE) of a relaxed Nd7DySc4 crystal.

extended XYZ file:
```
12
Lattice="-6.940 1.566 0.270 -8.216 -3.565 -2.929 -1.121 -6.058 6.203" Properties=species:S:1:pos:R:3 pbc="T T T"
Nd -9.382 -0.670 -1.202
Nd -6.896 -7.388 4.746
Nd -9.819 -3.511 3.503
Nd -6.459 -4.547 0.041
Nd -8.682 -6.441 1.907
Nd -3.470 0.783 0.135
Nd -7.596 -1.616 1.637
Dy 0.000 0.000 0.000
Sc -10.049 -3.811 0.093
Sc -6.228 -4.247 3.451
Sc -12.146 -5.685 1.970
Sc -4.132 -2.373 1.574
```

Spin magnetization (μB/cell): 0.0
Energy of formation from the pure elements (eV/atom): 0.039
Electronic total energy (eV/f.u.): -62.83
D(E_F) (states/eV per atom): 1.3988

---

The following is a DFT calculation (PBE) of a relaxed Li2ErCd7 crystal.

extended XYZ file:
```
10
Lattice="4.885 0.000 0.000 -2.442 4.230 0.000 0.000 0.000 10.686" Properties=species:S:1:pos:R:3 pbc="T T T"
Li 2.442 1.410 4.808
Li 0.000 2.820 6.612
Er 0.000 0.000 10.004
Cd 0.000 2.820 4.069
Cd 0.000 2.820 1.241
Cd 0.000 0.000 2.728
Cd 0.000 0.000 6.009
Cd 2.442 1.410 7.883
Cd 2.442 1.410 0.857
Cd 0.000 2.820 9.043
```

Spin magnetization (μB/cell): 0.0
Energy of formation from the pure elements (eV/atom): -0.122
Electronic total energy (eV/f.u.): -16.02
D(E_F) (states/eV per atom): 0.3650

---

The following is a DFT calculation (PBE) of a relaxed Al2CrPd2 crystal.

extended XYZ file:
```
10
Lattice="-7.201 -0.402 -0.763 0.229 -7.077 1.572 -0.318 0.588 2.693" Properties=species:S:1:pos:R:3 pbc="T T T"
Cr 0.000 0.000 0.000
Cr -3.486 -3.739 0.405
Al -2.342 -6.174 1.071
Al -5.990 -4.926 0.368
Al -4.630 -1.305 -0.262
Al -0.983 -2.553 0.441
Pd -1.102 -4.378 2.255
Pd -4.657 -5.972 2.183
Pd -6.189 -2.513 1.247
Pd -2.633 -0.919 1.319
```

Spin magnetization (μB/cell): 0.0
Energy of formation from the pure elements (eV/atom): -0.292
Electronic total energy (eV/f.u.): -28.96
Offset from the most stable computed form (meV/atom): 0
D(E_F) (states/eV per atom): 1.3321

---

The following is a DFT calculation (PBE) of a relaxed Mg3MnOs crystal.

extended XYZ file:
```
5
Lattice="4.955 0.000 0.000 0.000 4.955 0.000 0.000 0.000 4.955" Properties=species:S:1:pos:R:3 pbc="T T T"
Mg 0.000 2.477 0.000
Mg 0.000 0.000 2.477
Mg 2.477 0.000 0.000
Mn 2.477 2.477 2.477
Os 0.000 0.000 0.000
```

Spin magnetization (μB/cell): 4.8
Energy of formation from the pure elements (eV/atom): 0.857
Electronic total energy (eV/f.u.): -20.90
Offset from the most stable computed form (meV/atom): 0
D(E_F) (states/eV per atom): 0.5046

---

Which value of D(E_F) does entry 3 give? 1.4871 states/eV per atom